Entry from Alexandria: BaSr2Nb after structural relaxation (PBE-GGA).

Properties
**Calculated density**: 3.04 Mg/m³
**Offset from the most stable computed form**: 3.11 eV per formula unit
**ΔH_f (0 K)**: 1.524 eV per atom
**Crystal system**: tetragonal

a = 8.295 Å, b = 8.295 Å, c = 12.882 Å
α = 90.00°, β = 90.00°, γ = 90.00°
Space group I-42d (No. 122)
Inequivalent atoms, fractional coordinates:
Ba (0.000, 0.000, 0.000) (multiplicity 4)
Sr (0.007, 0.250, 0.625) (multiplicity 8)
Nb (0.000, 0.000, 0.500) (multiplicity 4)